DFT (PBE with a Hubbard U) results for a geometry-optimized ZnCo4O9 structure.

Electronic total energy = -5.29 eV per atom
Polymorph energy (0 for the lowest one) = 0.024 eV per atom
Density of states at the Fermi level = 0.418 states/eV/atom
Space-group type = P4/n (85)

Cell and atoms, written as extended XYZ:
```
28
Lattice="-2.259 3.713 -6.983 1.595 -6.900 -4.184 -4.540 -1.467 0.689" Properties=species:S:1:pos:R:3 pbc="T T T"
O -2.503 -0.299 -2.167
O -3.049 0.155 -4.798
O -4.082 0.498 -7.080
O -4.343 -4.597 -6.534
O -3.346 -2.058 -7.674
O -2.270 -0.734 0.344
O -4.902 -1.363 -3.331
O -1.300 -0.206 -7.154
O -1.193 -1.650 -9.528
O -2.190 -4.189 -8.389
O -2.602 -2.327 -5.239
O -5.831 0.858 -4.724
O -1.644 -4.643 -5.758
O -2.369 -2.761 -2.728
O 0.030 -1.698 -1.564
O -3.414 -6.818 -5.141
O 0.137 -3.142 -3.938
O -1.633 -5.317 -3.321
Co -1.462 -3.571 -4.182
Co -2.566 -2.596 -9.382
Co -3.259 -1.334 -3.643
Co -2.718 -0.751 -6.452
Co -2.971 -3.651 -6.681
Co -4.414 1.404 -5.426
Co -1.614 -1.727 -1.252
Co -1.815 -6.389 -4.897
Zn -3.289 -4.770 -1.472
Zn -1.583 1.710 -3.423
```